1.
Material: Zr4InTe8
Method: DFT, PBE-GGA
State: relaxed

Output
* V: 452 Å³/f.u.
* formation energy without anion corrections: -0.82 eV/atom
* SG: No. 166

Cell lengths 7.9620, 7.9620, 9.4332 Å; angles 65.04, 65.04, 60.00 degrees
Atoms (fractional coordinates):
Te1 0.7423 0.2390 0.7797
Te2 0.7610 0.7610 0.2203
Te3 0.7396 0.7396 0.7813
Zr1 0.0000 0.5000 0.0000
Te4 0.2390 0.7423 0.7797
Zr2 0.5000 0.0000 0.0000
Zr3 0.5000 0.5000 0.0000
Te5 0.2577 0.7610 0.2203
In1 0.5000 0.5000 0.5000
Te6 0.7610 0.2577 0.2203
Te7 0.2604 0.2604 0.2187
Zr4 0.0000 0.0000 0.0000
Te8 0.2390 0.2390 0.7797

2.
Material: TmMg5Pd2
Method: DFT, PBE-GGA
State: relaxed

Output
* V: 169 Å³/f.u.
* ΔH_f (0 K): -429.6 meV per atom
* SG: No. 71

Cell lengths 4.0403, 6.8135, 6.8135 Å; angles 76.27, 72.75, 72.75 degrees
Atoms (fractional coordinates):
Mg1 0.3416 0.4722 0.8447
Mg2 0.6584 0.1553 0.5278
Mg3 0.0000 0.5000 0.5000
Tm1 0.0000 0.0000 0.0000
Mg4 0.6584 0.5278 0.1553
Pd1 0.2786 0.2214 0.2214
Pd2 0.7214 0.7786 0.7786
Mg5 0.3416 0.8447 0.4722

3.
Material: CsGeF2
Method: DFT, PBE-GGA
State: relaxed

Output
* energy above the lowest structure with this stoichiometry: 236 meV/atom
* V: 106 Å³/f.u.
* formation energy without anion corrections: -1.57 eV/atom
* SG: No. 122

Cell lengths 5.5368, 5.5368, 7.9472 Å; angles 69.61, 69.61, 90.00 degrees
Site moments in Bohr magnetons follow the coordinates.
Atoms (fractional coordinates):
Cs1 0.0000 0.0000 0.0000  0.03
F1 0.8750 0.7509 0.7500  0.03
Ge1 0.5000 0.5000 0.0000  0.35
F2 0.3750 0.4991 0.7500  0.02
Cs2 0.7500 0.2500 0.5000  0.03
F3 0.5009 0.1250 0.2500  0.01
Ge2 0.2500 0.7500 0.5000  0.35
F4 0.2491 0.6250 0.2500  0.02

4.
Material: LiPm3Dy2Te6
Method: DFT, PBE-GGA
State: relaxed

Output
* V: 360 Å³/f.u.
* formation energy without anion corrections: -1.35 eV/atom
* SG: No. 12

Cell lengths 4.3904, 8.8054, 9.8416 Å; angles 103.27, 102.89, 90.00 degrees
Atoms (fractional coordinates):
Te1 0.6680 0.5785 0.3360
Te2 0.3320 0.4215 0.6640
Te3 0.6608 0.0858 0.3216
Te4 0.0020 0.2370 0.0040
Dy1 0.8331 0.6634 0.6661
Te5 0.3392 0.9142 0.6784
Li1 0.5000 0.0000 0.0000
Pm1 0.1674 0.8303 0.3348
Te6 0.9980 0.7630 0.9960
Pm2 0.8326 0.1697 0.6652
Dy2 0.1669 0.3366 0.3339
Pm3 0.5000 0.5000 0.0000

5.
Material: Ti3Mo3W
Method: DFT, PBE-GGA
State: relaxed

Output
* V: 118 Å³/f.u.
* ΔH_f (0 K): 341.2 meV per atom
* SG: No. 12

Cell lengths 6.1459, 6.1462, 6.2246 Å; angles 89.98, 89.98, 91.04 degrees
Atoms (fractional coordinates):
Mo1 0.3039 0.6961 0.5000
W1 0.3052 0.3052 0.9995
Mo2 0.2542 0.2542 0.5000
Ti1 0.9999 0.9999 0.7497
Mo3 0.7458 0.7458 0.5000
Mo4 0.2527 0.7472 0.0000
Mo5 0.7472 0.2528 0.0000
Ti2 0.5000 0.0001 0.2503
Ti3 0.5000 0.9998 0.7497
Ti4 0.9998 0.5000 0.7497
Ti5 0.0001 0.0001 0.2503
Ti6 0.0001 0.5000 0.2503
W2 0.6948 0.6948 0.0005
Mo6 0.6961 0.3039 0.5000

6.
Material: Li3Mg5F12
Method: DFT, PBE-GGA
State: relaxed

Output
* V: 265 Å³/f.u.
* formation energy without anion corrections: -3.09 eV/atom
* SG: No. 230

Cell lengths 11.1256, 11.1256, 11.1256 Å; angles 109.47, 109.47, 109.47 degrees
Atoms (fractional coordinates):
F1 0.3331 0.5119 0.3728
Li1 0.6250 0.3750 0.7500
F2 0.6669 0.4881 0.6272
F3 0.1272 0.1669 0.4881
Li2 0.3750 0.7500 0.6250
F4 0.1669 0.1272 0.9881
F5 0.8331 0.8728 0.0119
F6 0.3331 0.8212 0.4603
F7 0.4603 0.1391 0.6272
Mg1 0.0000 0.5000 0.0000
Mg2 0.1250 0.7500 0.3750
F8 0.8212 0.3331 0.9603
F9 0.8331 0.9603 0.3212
Mg3 0.0000 0.5000 0.5000
F10 0.1788 0.5119 0.6391
Mg4 0.2500 0.3750 0.6250
F11 0.3728 0.0119 0.3331
F12 0.4881 0.6669 0.1272
F13 0.0397 0.1669 0.1788
Li3 0.7500 0.3750 0.1250
F14 0.6391 0.6272 0.9603
F15 0.8609 0.3212 0.4881
Mg5 0.2500 0.8750 0.1250
F16 0.8609 0.5397 0.8728
F17 0.1391 0.6788 0.5119
F18 0.6391 0.0119 0.1788
F19 0.4603 0.3212 0.3331
F20 0.9881 0.3609 0.3212
Mg6 0.5000 0.5000 0.0000
Mg7 0.6250 0.7500 0.8750
Mg8 0.3750 0.1250 0.7500
Li4 0.8750 0.7500 0.1250
F21 0.3212 0.8609 0.9881
Li5 0.7500 0.8750 0.6250
F22 0.6669 0.1788 0.5397
F23 0.8212 0.4881 0.3609
Mg9 0.7500 0.6250 0.3750
Li6 0.3750 0.6250 0.2500
F24 0.6272 0.6391 0.4603
Li7 0.2500 0.6250 0.8750
F25 0.8728 0.8331 0.5119
Li8 0.1250 0.2500 0.8750
F26 0.8728 0.0397 0.8609
F27 0.3609 0.3728 0.0397
Li9 0.1250 0.8750 0.7500
F28 0.1669 0.0397 0.6788
F29 0.4881 0.8212 0.8609
F30 0.5119 0.1788 0.1391
Mg10 0.1250 0.3750 0.2500
Mg11 0.5000 0.0000 0.0000
Mg12 0.0000 0.0000 0.0000
F31 0.5397 0.8609 0.3728
Mg13 0.5000 0.5000 0.5000
F32 0.9881 0.6272 0.1669
Mg14 0.3750 0.2500 0.1250
F33 0.3728 0.3609 0.5397
Mg15 0.7500 0.1250 0.8750
F34 0.1272 0.9603 0.1391
F35 0.9603 0.1272 0.6391
F36 0.0397 0.8728 0.3609
F37 0.0119 0.3728 0.8331
F38 0.6788 0.1391 0.0119
Mg16 0.8750 0.2500 0.6250
F39 0.3212 0.4603 0.8331
Mg17 0.8750 0.6250 0.7500
F40 0.5397 0.6788 0.6669
F41 0.1391 0.4603 0.1272
Li10 0.2500 0.1250 0.3750
F42 0.1788 0.6669 0.0397
F43 0.6272 0.9881 0.6669
F44 0.9603 0.8331 0.8212
Li11 0.6250 0.2500 0.3750
Li12 0.8750 0.1250 0.2500
F45 0.5119 0.3331 0.8728
Mg18 0.6250 0.8750 0.2500
F46 0.0119 0.6391 0.6788
F47 0.3609 0.9881 0.8212
Mg19 0.0000 0.0000 0.5000
Mg20 0.5000 0.0000 0.5000
F48 0.6788 0.5397 0.1669

7.
Material: TbCeSc2Ru4
Method: DFT, PBE-GGA
State: relaxed

Output
* V: 146 Å³/f.u.
* ΔH_f (0 K): -480.0 meV per atom
* SG: No. 166

Cell lengths 4.7075, 4.7075, 8.0905 Å; angles 73.09, 73.09, 60.00 degrees
Atoms (fractional coordinates):
Sc1 0.7476 0.7476 0.7573
Tb1 0.0000 0.0000 0.0000
Ru1 0.3789 0.3789 0.8634
Ru2 0.8721 0.8721 0.3836
Ru3 0.6211 0.6211 0.1366
Ce1 0.5000 0.5000 0.5000
Ru4 0.1279 0.1279 0.6164
Sc2 0.2524 0.2524 0.2427

8.
Material: Ti2Al5VNi2
Method: DFT, PBE-GGA
State: relaxed

Output
* V: 146 Å³/f.u.
* ΔH_f (0 K): -411.8 meV per atom
* SG: No. 127

Cell lengths 3.8775, 8.6638, 8.6638 Å; angles 90.00, 90.00, 90.00 degrees
Atoms (fractional coordinates):
Ni1 0.0000 0.8805 0.3805
Al1 0.5000 0.0000 0.5000
Al2 0.5000 0.7062 0.4328
Ti1 0.0000 0.1777 0.3223
Al3 0.5000 0.9328 0.2062
Al4 0.5000 0.5000 0.0000
Al5 0.5000 0.5672 0.7062
Al6 0.5000 0.2062 0.0672
Al7 0.5000 0.4328 0.2938
Ti2 0.0000 0.6777 0.1777
Ni2 0.0000 0.1195 0.6195
Ni3 0.0000 0.3805 0.1195
Ni4 0.0000 0.6195 0.8805
V1 0.0000 0.0000 0.0000
Ti3 0.0000 0.3223 0.8223
Al8 0.5000 0.0672 0.7938
Ti4 0.0000 0.8223 0.6777
V2 0.0000 0.5000 0.5000
Al9 0.5000 0.7938 0.9328
Al10 0.5000 0.2938 0.5672

9.
Material: CaAc2OsN4
Method: DFT, PBE-GGA
State: relaxed

Output
* V: 153 Å³/f.u.
* formation energy without anion corrections: -0.50 eV/atom
* SG: No. 63

Cell lengths 3.6309, 6.9843, 12.5144 Å; angles 90.00, 90.00, 105.07 degrees
Atoms (fractional coordinates):
Ac1 0.6294 0.2588 0.4693
N1 0.6037 0.2073 0.2500
Ca1 0.1552 0.3104 0.7500
Ca2 0.8448 0.6896 0.2500
N2 0.0000 0.0000 0.5000
Ac2 0.3706 0.7412 0.5307
Ac3 0.3706 0.7412 0.9693
N3 0.7373 0.4746 0.8617
N4 0.7373 0.4746 0.6383
N5 0.3963 0.7927 0.7500
Ac4 0.6294 0.2588 0.0307
Os1 0.1559 0.3117 0.2500
N6 0.2627 0.5254 0.3617
Os2 0.8441 0.6883 0.7500
N7 0.0000 0.0000 0.0000
N8 0.2627 0.5254 0.1383

10.
Material: La3SnGe
Method: DFT, PBE-GGA
State: relaxed

Output
* energy above the lowest structure with this stoichiometry: 35 meV/atom
* V: 166 Å³/f.u.
* ΔH_f (0 K): -649.2 meV per atom
* SG: No. 12

Cell lengths 5.4088, 8.4523, 9.3674 Å; angles 122.97, 89.99, 108.68 degrees
Atoms (fractional coordinates):
La1 0.3955 0.7908 0.2202
La2 0.9086 0.8173 0.7486
Ge1 0.1477 0.2957 0.9821
Sn1 0.3528 0.7058 0.5193
La3 0.0914 0.1827 0.2514
Ge2 0.8523 0.7043 0.0179
La4 0.2487 0.4976 0.7595
La5 0.7513 0.5024 0.2405
Sn2 0.6472 0.2942 0.4807
La6 0.6045 0.2092 0.7798

11.
Material: Zr7As6
Method: DFT, PBE-GGA
State: relaxed

Output
* V: 292 Å³/f.u.
* ΔH_f (0 K): -357.2 meV per atom
* SG: No. 166

Cell lengths 9.8888, 9.8888, 9.8888 Å; angles 35.57, 35.57, 35.57 degrees
Atoms (fractional coordinates):
As1 0.1803 0.1803 0.1803
Zr1 0.0754 0.5752 0.5752
Zr2 0.4248 0.4248 0.9246
Zr3 0.5000 0.5000 0.5000
As2 0.3329 0.3329 0.3329
Zr4 0.9246 0.4248 0.4248
As3 0.9489 0.9489 0.9489
Zr5 0.5752 0.0754 0.5752
As4 0.8197 0.8197 0.8197
As5 0.0511 0.0511 0.0511
Zr6 0.5752 0.5752 0.0754
Zr7 0.4248 0.9246 0.4248
As6 0.6671 0.6671 0.6671

VASP energy, record by record: -5.59; -3.28; -3.87; -5.04; -9.53; -4.90; -8.02; -5.93; -7.35; -5.33; -7.11 eV/atom